! PBE+U Mn3FeSn2P6O24, relaxed; values from VASP
! VASP energy (eV per cell): -256.92
! Volume (Å³/cell): 464.4
&SYSTEM
  ibrav = 0, nat = 36, ntyp = 5
/
ATOMIC_SPECIES
O 16.00 O.upf
P 30.97 P.upf
Fe 55.84 Fe.upf
Sn 118.71 Sn.upf
Mn 54.94 Mn.upf
CELL_PARAMETERS angstrom
8.588 0.007 0.005
4.073 7.561 0.005
4.073 2.434 7.158
ATOMIC_POSITIONS angstrom
O 7.683 7.953 6.672
O 9.092 2.015 0.552
O 8.752 6.075 5.361
O 10.643 7.283 0.697
O 5.912 7.648 4.258
O 7.129 3.421 4.302
O 3.114 3.012 0.029
O 11.455 2.564 5.387
P 11.421 3.231 3.940
P 7.093 2.248 5.378
Fe 2.520 1.506 1.080
O 5.284 4.137 0.677
Sn 8.364 4.999 3.583
O 6.146 1.507 2.334
O 4.238 3.721 3.700
O 12.508 6.317 3.393
Mn 14.178 8.475 6.073
P 8.254 6.472 6.811
O 5.336 7.454 1.731
P 5.339 6.759 3.179
O 2.351 2.272 2.843
Sn 16.721 9.994 7.162
O 11.487 5.792 6.509
Mn 5.842 3.492 2.502
O 10.336 4.380 4.030
O 6.389 5.572 3.030
O 9.536 4.541 0.133
P 9.609 7.801 1.793
Mn 10.925 6.530 4.680
O 4.128 0.450 1.237
P 8.481 3.493 0.401
O 6.081 2.789 6.502
O 9.495 6.630 2.852
O 10.541 8.534 4.892
O 8.516 2.134 5.874
O 7.933 3.829 1.857

! PBE+U Ti3MnFe2P6O24, relaxed; values from VASP
! VASP energy (eV per cell): -278.45
! Volume (Å³/cell): 455.8
&SYSTEM
  ibrav = 0, nat = 36, ntyp = 5
/
ATOMIC_SPECIES
Ti 47.87 Ti.upf
Fe 55.84 Fe.upf
O 16.00 O.upf
P 30.97 P.upf
Mn 54.94 Mn.upf
CELL_PARAMETERS angstrom
-4.267 -6.351 3.860
-1.824 -7.081 -4.468
4.160 -7.258 1.858
ATOMIC_POSITIONS angstrom
Ti -0.683 -7.316 0.442
Fe -0.969 -10.380 0.627
O -1.036 -6.240 1.945
O -0.682 -8.595 -3.343
O -1.145 -14.438 -0.724
O 2.524 -11.081 0.752
Ti -1.656 -17.741 1.071
O -1.101 -12.017 4.639
O -2.697 -10.788 -2.465
Ti -1.247 -13.361 0.807
O -4.153 -7.929 2.325
O -0.060 -14.385 1.834
P 1.904 -12.352 0.273
P -2.232 -11.766 3.585
O -2.310 -8.631 0.709
O -2.149 -12.002 -0.390
P 0.377 -8.898 -2.290
O 2.204 -12.680 -1.228
O -3.154 -16.613 1.393
O -2.840 -10.405 3.661
P -3.829 -8.314 0.886
O -4.533 -12.049 -1.193
O 0.349 -12.188 0.399
P 1.039 -8.643 2.965
O -0.236 -8.919 -0.854
Fe -0.006 -0.059 0.004
O 2.496 -8.537 2.532
O 0.975 -6.545 -0.005
O -1.109 -16.922 -0.557
O -2.807 -14.150 1.484
O -0.437 -16.818 2.203
O 0.087 -8.793 1.735
P -3.045 -12.008 -1.678
O -1.724 -6.340 -0.785
Mn -0.277 -2.965 0.179
O -1.569 -11.902 2.170

! PBE+U MnV2Fe3P6O24, relaxed; values from VASP
! VASP energy (eV per cell): -261.76
! Volume (Å³/cell): 442.6
&SYSTEM
  ibrav = 0, nat = 36, ntyp = 5
/
ATOMIC_SPECIES
O 16.00 O.upf
P 30.97 P.upf
Fe 55.84 Fe.upf
V 50.94 V.upf
Mn 54.94 Mn.upf
CELL_PARAMETERS angstrom
8.429 -0.025 -0.018
3.977 7.432 -0.018
3.977 2.374 7.042
ATOMIC_POSITIONS angstrom
O 7.554 7.845 6.583
P 11.190 3.139 3.861
O 8.641 6.006 5.240
Fe 13.985 8.350 5.981
Fe 5.787 3.455 2.475
O 5.911 2.549 6.321
V 0.018 0.011 0.008
P 6.987 2.118 5.252
O 7.766 3.827 1.758
O 10.579 2.227 2.827
O 5.048 7.270 1.748
O 10.168 4.336 4.000
Fe 10.596 6.326 4.532
Mn 2.416 1.443 1.033
O 10.458 8.234 4.670
P 9.416 7.637 1.729
P 8.071 6.346 6.674
P 5.179 6.628 3.182
P 8.292 3.468 0.316
O 6.979 5.333 6.908
O 8.006 7.703 1.199
O 5.950 1.551 2.247
O 6.234 5.462 3.057
O 7.053 3.281 4.188
O 4.188 3.576 3.540
O 12.210 6.127 3.515
V 8.205 4.899 3.509
O 11.293 2.495 5.310
O 9.386 6.492 2.818
O 10.490 7.175 0.654
O 8.412 1.981 5.778
O 5.135 3.992 0.745
O 8.795 1.975 0.379
O 5.734 7.551 4.262
O 9.368 4.507 0.016
O 11.186 5.852 6.294

! PBE+U Mn2V3FeP6O24, relaxed; values from VASP
! VASP energy (eV per cell): -270.49
! Volume (Å³/cell): 454.2
&SYSTEM
  ibrav = 0, nat = 36, ntyp = 5
/
ATOMIC_SPECIES
P 30.97 P.upf
O 16.00 O.upf
V 50.94 V.upf
Fe 55.84 Fe.upf
Mn 54.94 Mn.upf
CELL_PARAMETERS angstrom
8.627 0.002 0.001
4.310 7.474 0.001
4.310 2.490 7.046
ATOMIC_POSITIONS angstrom
P 8.626 8.514 3.819
O 9.650 1.602 4.343
O 7.592 8.390 2.690
O 6.165 2.658 0.820
O 4.516 4.513 2.233
V 2.478 1.432 1.013
O 10.791 3.010 6.678
O 11.060 3.332 1.355
O 9.278 7.100 3.944
O 11.903 7.820 3.489
Fe 14.752 8.524 6.029
O 5.382 2.110 3.512
P 5.570 5.292 5.288
O 9.904 5.000 5.381
O 6.208 6.613 5.682
O 7.310 4.961 1.669
Mn 17.236 9.959 7.044
Mn 8.616 4.978 3.521
O 6.466 6.982 0.420
O 7.949 2.858 3.079
P 9.885 4.259 6.756
O 9.278 1.101 1.855
O 8.410 3.915 7.015
O 10.784 5.215 2.922
O 12.719 5.423 4.879
O 7.997 8.910 5.174
P 8.629 1.456 3.229
O 11.051 7.369 6.211
P 11.685 4.674 1.765
O 5.587 4.243 6.444
O 8.830 6.049 0.064
V 11.105 6.417 4.539
V 6.133 3.543 2.506
P 7.367 5.713 0.297
O 11.713 5.704 0.613
O 6.446 4.722 4.122

! PBE+U PaMn2FeO8, relaxed; values from VASP
! VASP energy (eV per cell): -86.78
! Volume (Å³/cell): 151.5
&SYSTEM
  ibrav = 0, nat = 12, ntyp = 4
/
ATOMIC_SPECIES
O 16.00 O.upf
Mn 54.94 Mn.upf
Fe 55.84 Fe.upf
Pa 231.04 Pa.upf
CELL_PARAMETERS angstrom
5.814 0.242 0.000
-2.362 5.318 0.000
-1.726 -2.780 4.811
ATOMIC_POSITIONS angstrom
O -0.137 1.484 3.912
Mn 1.726 2.780 0.000
O 2.797 1.657 3.309
O 1.481 -0.462 1.502
Fe -1.181 2.659 2.406
O 0.335 2.245 0.900
Mn 2.907 0.121 2.406
O 4.333 0.704 1.502
O 3.117 3.316 0.900
O 3.017 -1.415 3.309
O 0.137 -1.484 3.912
Pa 0.000 0.000 0.000

! PBE+U Pa2MnFeO8, relaxed; values from VASP
! VASP energy (eV per cell): -103.85
! Volume (Å³/cell): 150.2
&SYSTEM
  ibrav = 0, nat = 12, ntyp = 4
/
ATOMIC_SPECIES
O 16.00 O.upf
Fe 55.84 Fe.upf
Pa 231.04 Pa.upf
Mn 54.94 Mn.upf
CELL_PARAMETERS angstrom
5.236 0.000 0.000
0.000 5.236 0.000
-2.618 -2.618 5.478
ATOMIC_POSITIONS angstrom
O 3.570 3.809 1.857
O 0.941 3.775 0.861
O 1.191 -0.952 3.620
Fe 2.618 0.000 2.739
Pa 2.618 2.618 0.000
O 1.666 1.427 1.857
Mn 0.000 0.000 0.000
O -1.191 0.952 3.620
O 4.295 1.461 0.861
O -1.157 -1.677 4.617
O 1.157 1.677 4.617
Pa 0.000 2.618 2.739